A plane-wave DFT calculation with GGA-PBE was carried out for a relaxed Ti5Sn2Mo crystal.

Output
symmetry = I4/mmm (139)
electronic total energy = -0.2781 Ha/atom

a b c (Å): 4.809 4.809 7.003
angles (deg): 110.08 110.08 90.00
Fractional positions:
Mo1 0.000 0.000 0.000
Ti1 0.614 0.114 0.229
Ti2 0.886 0.386 0.771
Ti3 0.500 0.500 0.000
Ti4 0.386 0.886 0.771
Ti5 0.114 0.614 0.229
Sn1 0.750 0.750 0.501
Sn2 0.250 0.250 0.499